DFT (GGA+U) results for a relaxed MoI2NF crystal.

abc: 5.4899 5.4899 3.7971
angles: 90.00 90.00 90.00
With the nearest neighbours (Å) after each atom.
Space group P4/mmm (No. 123)
Unique sites:
Mo 0.0000 0.0000 0.0000 (multiplicity 1)  2 N 1.90
I 0.0000 0.5000 0.0000 (multiplicity 2)  2 Mo 2.74
N 0.0000 0.0000 0.5000 (multiplicity 1)  2 Mo 1.90
F 0.5000 0.5000 0.5000 (multiplicity 1)  8 I 3.34

Output
density of states at the Fermi level = 4.67 states/eV per cell
energy above the most stable polymorph in this dataset = 0.00 eV per formula unit